Below is a relaxed AcZn6Pd2 crystal, with properties calculated at the PBE level.

abc: 6.8609 6.8609 4.4062
angles: 104.93 104.93 59.68
With the nearest neighbours (Å) after each atom.
Atoms (fractional coordinates):
Ac 0.0000 0.0000 0.0000  4 Zn 3.12
Zn 0.0877 0.4862 0.2804  4 Zn 2.44-2.72, 2 Pd 2.71
Zn 0.3246 0.6754 0.5000  3 Zn 2.39-2.44
Zn 0.4862 0.0877 0.2804  4 Zn 2.44-2.72, 2 Pd 2.71
Zn 0.5138 0.9123 0.7196  4 Zn 2.44-2.72, 2 Pd 2.71
Zn 0.6754 0.3246 0.5000  3 Zn 2.39-2.44
Zn 0.9123 0.5138 0.7196  4 Zn 2.44-2.72, 2 Pd 2.71
Pd 0.3680 0.3680 0.8562  8 Zn 2.71-2.80, 1 Pd 3.02
Pd 0.6320 0.6320 0.1438  8 Zn 2.71-2.80, 1 Pd 3.02

Properties
Volume, Å³/atom: 18.99
ΔE_f, meV per atom: -265
Crystal system: monoclinic

Below is a relaxed Be2InIrSe crystal, with properties calculated at the PBE level.

abc: 4.3803 4.3803 5.0612
angles: 90.00 90.00 90.00
With the nearest neighbours (Å) after each atom.
Atoms (fractional coordinates):
Be 0.0000 0.5000 0.0000  2 Ir 2.19
Be 0.5000 0.0000 0.0000  2 Ir 2.19
In 0.0000 0.0000 0.5000  4 Se 3.10, 8 Be 3.35
Ir 0.5000 0.5000 0.0000  4 Be 2.19
Se 0.5000 0.5000 0.5000  2 Ir 2.53

Properties
Volume, Å³/atom: 19.42
Formation energy without anion corrections, eV per atom: 0.35
Crystal system: tetragonal

Below is a relaxed RbUPaS4 crystal, with properties calculated at the PBE level.

abc: 8.4992 8.4992 8.4992
angles: 120.44 120.18 89.47
With the nearest neighbours (Å) after each atom.
Atoms (fractional coordinates):
Rb 0.3749 0.1249 0.2500  4 S 3.05
Rb 0.6251 0.8751 0.7500  4 S 3.05
U 0.0000 0.5000 0.5000  6 S 2.77-2.78
U 0.5000 0.5000 0.0000  6 S 2.77-2.78
Pa 0.0000 0.0000 0.5000  6 S 2.74-2.75
Pa 0.0000 0.5000 0.0000  6 S 2.74-2.75
S 0.1848 0.7284 0.4563  2 Pa 2.75, 1 U 2.78, 1 Rb 3.05
S 0.2251 0.2660 0.5410  1 Pa 2.74, 2 U 2.77, 1 Rb 3.05
S 0.2251 0.6841 0.9590  1 Pa 2.74, 2 U 2.77, 1 Rb 3.05
S 0.2279 0.2716 0.9563  2 Pa 2.75, 1 U 2.78, 1 Rb 3.05
S 0.7721 0.7284 0.0437  2 Pa 2.75, 1 U 2.78, 1 Rb 3.05
S 0.7749 0.3159 0.0410  1 Pa 2.74, 2 U 2.77, 1 Rb 3.05
S 0.7749 0.7340 0.4590  1 Pa 2.74, 2 U 2.77, 1 Rb 3.05
S 0.8152 0.2716 0.5437  2 Pa 2.75, 1 U 2.78, 1 Rb 3.05

Properties
Volume, Å³/atom: 30.86
Formation energy without anion corrections, eV per atom: -1.41
Crystal system: orthorhombic

Below is a relaxed Ac7LaRu3 crystal, with properties calculated at the PBE level.

abc: 8.4743 8.4743 6.8213
angles: 90.00 90.00 120.00
With the nearest neighbours (Å) after each atom.
Atoms (fractional coordinates):
Ac 0.0000 0.0000 0.0000  3 Ru 2.95
Ac 0.1645 0.3291 0.4697  2 Ru 2.92
Ac 0.1645 0.8355 0.4697  2 Ru 2.92
Ac 0.5031 0.0062 0.9911  2 Ru 2.93
Ac 0.5031 0.4969 0.9911  2 Ru 2.93
Ac 0.6709 0.8355 0.4697  2 Ru 2.92
Ac 0.9938 0.4969 0.9911  2 Ru 2.93
La 0.6667 0.3333 0.4503  3 Ru 2.83
Ru 0.3372 0.1686 0.2346  1 La 2.83, 5 Ac 2.92-2.95
Ru 0.8314 0.1686 0.2346  1 La 2.83, 5 Ac 2.92-2.95
Ru 0.8314 0.6628 0.2346  1 La 2.83, 5 Ac 2.92-2.95

Properties
Volume, Å³/atom: 38.57
ΔE_f, meV per atom: -175
Crystal system: trigonal

Below is a relaxed K2SrPdRh crystal, with properties calculated at the PBE level.

abc: 6.9376 6.9376 5.1810
angles: 90.00 90.00 90.00
With the nearest neighbours (Å) after each atom.
Atoms (fractional coordinates):
K 0.0000 0.5000 0.0000  2 Sr 3.47
K 0.5000 0.0000 0.0000  2 Sr 3.47
Sr 0.0000 0.0000 0.0000  2 Pd 2.59
Pd 0.0000 0.0000 0.5000  2 Sr 2.59
Rh 0.5000 0.5000 0.5000  8 K 4.33

Properties
Volume, Å³/atom: 49.87
ΔE_f, meV per atom: 1126
Crystal system: tetragonal

Below is a relaxed CaMoIr2 crystal, with properties calculated at the PBE level.

abc: 3.3104 3.3104 6.8944
angles: 90.00 90.00 90.00
With the nearest neighbours (Å) after each atom.
Atoms (fractional coordinates):
Ca 0.0000 0.0000 0.0000  4 Ir 2.97, 4 Ca 3.31
Mo 0.5000 0.5000 0.6519  5 Ir 2.56-2.66
Ir 0.0000 0.0000 0.5006  4 Mo 2.56, 4 Ir 2.85
Ir 0.5000 0.5000 0.2661  1 Mo 2.66, 4 Ir 2.85, 4 Ca 2.97

Properties
Volume, Å³/atom: 18.89
Offset from the most stable computed form, meV/atom: 466
ΔE_f, meV per atom: 301
Crystal system: tetragonal

Below is a relaxed Rb3ZnCl crystal, with properties calculated at the PBE level.

abc: 6.4560 6.4560 6.4560
angles: 90.00 90.00 90.00
With the nearest neighbours (Å) after each atom.
Atoms (fractional coordinates):
Rb 0.0000 0.0000 0.5000  2 Cl 3.23
Rb 0.0000 0.5000 0.0000  2 Cl 3.23
Rb 0.5000 0.0000 0.0000  2 Cl 3.23
Zn 0.5000 0.5000 0.5000  12 Rb 4.57
Cl 0.0000 0.0000 0.0000  6 Rb 3.23

Properties
Volume, Å³/atom: 53.82
Offset from the most stable computed form, meV/atom: 0
Formation energy without anion corrections, eV per atom: -0.58
Crystal system: cubic

Below is a relaxed YSiSbN2 crystal, with properties calculated at the PBE level.

abc: 4.1713 4.1713 5.1402
angles: 90.00 90.00 90.00
With the nearest neighbours (Å) after each atom.
Atoms (fractional coordinates):
Y 0.0000 0.0000 0.0000  4 Si 2.95
Si 0.5000 0.5000 0.0000  2 Sb 2.57
Sb 0.5000 0.5000 0.5000  4 N 2.09
N 0.0000 0.5000 0.5000  2 Sb 2.09
N 0.5000 0.0000 0.5000  2 Sb 2.09

Properties
Volume, Å³/atom: 17.89
Formation energy without anion corrections, eV per atom: 0.81
Crystal system: tetragonal

Below is a relaxed NaMgZn2Cr crystal, with properties calculated at the PBE level.

abc: 4.6751 4.6751 4.7753
angles: 90.00 90.00 90.00
With the nearest neighbours (Å) after each atom.
Atoms (fractional coordinates):
Na 0.0000 0.0000 0.0000  4 Zn 2.34, 2 Mg 2.39
Mg 0.0000 0.0000 0.5000  2 Na 2.39
Zn 0.0000 0.5000 0.0000  2 Na 2.34
Zn 0.5000 0.0000 0.0000  2 Na 2.34
Cr 0.5000 0.5000 0.5000  4 Mg 3.31, 8 Zn 3.34

Properties
Volume, Å³/atom: 20.87
ΔE_f, meV per atom: 1515
Crystal system: tetragonal

Below is a relaxed MnSiOs crystal, with properties calculated at the PBE level.

abc: 2.7409 3.6612 7.4900
angles: 90.00 90.00 90.00
With the nearest neighbours (Å) after each atom.
Atoms (fractional coordinates):
Mn 0.0000 0.0000 0.0000  5 Os 2.50-2.60, 5 Si 2.50-2.60, 2 Mn 2.74
Mn 0.5000 0.5000 0.5000  5 Os 2.50-2.60, 5 Si 2.50-2.60, 2 Mn 2.74
Si 0.0000 0.0000 0.3341  5 Os 2.49-2.61, 5 Mn 2.50-2.60, 2 Si 2.74
Si 0.5000 0.5000 0.8341  5 Os 2.49-2.61, 5 Mn 2.50-2.60, 2 Si 2.74
Os 0.0000 0.0000 0.6663  5 Si 2.49-2.61, 5 Mn 2.50-2.60, 2 Os 2.74
Os 0.5000 0.5000 0.1663  5 Si 2.49-2.61, 5 Mn 2.50-2.60, 2 Os 2.74

Properties
Volume, Å³/atom: 12.53
Formation energy without anion corrections, eV per atom: -0.08
Crystal system: orthorhombic

Below is a relaxed LiMg2Nb crystal, with properties calculated at the PBE level.

abc: 2.9261 2.9261 32.4952
angles: 90.00 90.00 120.00
With the nearest neighbours (Å) after each atom.
Atoms (fractional coordinates):
Li 0.0000 0.0000 0.0000  6 Li 2.93, 6 Mg 3.02
Li 0.3333 0.6667 0.6667  6 Li 2.93, 6 Mg 3.02
Li 0.6667 0.3333 0.3333  6 Li 2.93, 6 Mg 3.02
Mg 0.0000 0.0000 0.4105  1 Nb 2.91, 6 Mg 2.93, 3 Li 3.02
Mg 0.0000 0.0000 0.5895  1 Nb 2.91, 6 Mg 2.93, 3 Li 3.02
Mg 0.3333 0.6667 0.0772  1 Nb 2.91, 6 Mg 2.93, 3 Li 3.02
Mg 0.3333 0.6667 0.2561  1 Nb 2.91, 6 Mg 2.93, 3 Li 3.02
Mg 0.6667 0.3333 0.7439  1 Nb 2.91, 6 Mg 2.93, 3 Li 3.02
Mg 0.6667 0.3333 0.9228  1 Nb 2.91, 6 Mg 2.93, 3 Li 3.02
Nb 0.0000 0.0000 0.5000  2 Mg 2.91, 6 Nb 2.93
Nb 0.3333 0.6667 0.1667  2 Mg 2.91, 6 Nb 2.93
Nb 0.6667 0.3333 0.8333  2 Mg 2.91, 6 Nb 2.93

Properties
Volume, Å³/atom: 20.08
Offset from the most stable computed form, meV/atom: 0
ΔE_f, meV per atom: 332
Crystal system: trigonal

Below is a relaxed Li2PdRu crystal, with properties calculated at the PBE level.

abc: 5.9265 5.9265 5.9265
angles: 90.00 90.00 90.00
With the nearest neighbours (Å) after each atom.
Atoms (fractional coordinates):
Li 0.2500 0.2500 0.2500  4 Ru 2.57, 4 Pd 2.57
Li 0.2500 0.2500 0.7500  4 Ru 2.57, 4 Pd 2.57
Li 0.2500 0.7500 0.2500  4 Ru 2.57, 4 Pd 2.57
Li 0.2500 0.7500 0.7500  4 Ru 2.57, 4 Pd 2.57
Li 0.7500 0.2500 0.2500  4 Ru 2.57, 4 Pd 2.57
Li 0.7500 0.2500 0.7500  4 Ru 2.57, 4 Pd 2.57
Li 0.7500 0.7500 0.2500  4 Ru 2.57, 4 Pd 2.57
Li 0.7500 0.7500 0.7500  4 Ru 2.57, 4 Pd 2.57
Pd 0.0000 0.0000 0.0000  8 Li 2.57
Pd 0.0000 0.5000 0.5000  8 Li 2.57
Pd 0.5000 0.0000 0.5000  8 Li 2.57
Pd 0.5000 0.5000 0.0000  8 Li 2.57
Ru 0.0000 0.0000 0.5000  8 Li 2.57
Ru 0.0000 0.5000 0.0000  8 Li 2.57
Ru 0.5000 0.0000 0.0000  8 Li 2.57
Ru 0.5000 0.5000 0.5000  8 Li 2.57

Properties
Volume, Å³/atom: 13.01
Offset from the most stable computed form, meV/atom: 201
ΔE_f, meV per atom: 217
Crystal system: cubic